[1]
SrYO2 | PBE-GGA | relaxed

Unit cell a=3.5829 b=3.5829 c=20.6468 alpha=90.00 beta=90.00 gamma=120.00
Space group R-3m (No. 166, hexagonal axes)
Inequivalent atoms, fractional coordinates:
Sr  0.0000  0.0000  0.0000 x3
Y  0.0000  0.0000  0.5000 x3
O  0.0000  0.0000  0.1144 x6

Computed properties:
D(E_F)   2.3 states/eV per cell
Formation energy without anion corrections   -2662 meV/atom
Electronic total energy   -28.7 eV/f.u.
Offset from the most stable computed form   85 meV/atom
Crystal system   trigonal

---

[2]
SrYO2 | PBE-GGA | relaxed

Unit cell a=5.531 b=5.531 c=10.817 alpha=90.00 beta=90.00 gamma=90.00
Space group I-42d (No. 122)
Inequivalent atoms, fractional coordinates:
Sr  0.000  0.000  0.000 x4
Y  0.000  0.000  0.500 x4
O  0.205  0.250  0.625 x8

Computed properties:
D(E_F)   10.4 states/eV per cell
Formation energy without anion corrections   -2640 meV/atom
Electronic total energy   -28.6 eV/f.u.
Offset from the most stable computed form   107 meV/atom
Crystal system   tetragonal

---

[3]
SrY3O | PBE-GGA | relaxed

Unit cell a=5.610 b=5.610 c=5.610 alpha=90.00 beta=90.00 gamma=90.00
Space group Pm-3m (No. 221)
Inequivalent atoms, fractional coordinates:
Sr  0.000  0.000  0.000 x1
Y  0.000  0.000  0.500 x3
O  0.500  0.500  0.500 x1

Computed properties:
D(E_F)   7.2 states/eV per cell
Formation energy without anion corrections   1587 meV/atom
Electronic total energy   -18.1 eV/f.u.
Offset from the most stable computed form   2446 meV/atom
Crystal system   cubic

---

[4]
SrY2O | PBE-GGA | relaxed

Unit cell a=7.264 b=7.264 c=10.268 alpha=90.00 beta=90.00 gamma=90.00
Space group I-42d (No. 122)
Inequivalent atoms, fractional coordinates:
Sr  0.000  0.000  0.000 x4
Y  0.002  0.250  0.625 x8
O  0.000  0.000  0.500 x4

Computed properties:
D(E_F)   18.8 states/eV per cell
Formation energy without anion corrections   -1332 meV/atom
Electronic total energy   -24.9 eV/f.u.
Crystal system   tetragonal

---

[5]
Sr2YO | PBE-GGA | relaxed

Unit cell a=3.6791 b=3.6791 c=30.2476 alpha=90.00 beta=90.00 gamma=120.00
Space group R-3m (No. 166, hexagonal axes)
Inequivalent atoms, fractional coordinates:
Sr  0.0000  0.0000  0.1169 x6
Y  0.0000  0.0000  0.0000 x3
O  0.0000  0.0000  0.5000 x3

Computed properties:
D(E_F)   10.3 states/eV per cell
Formation energy without anion corrections   -1062 meV/atom
Electronic total energy   -19.0 eV/f.u.
Crystal system   trigonal

---

[6]
SrYO2 | PBE-GGA | relaxed

Unit cell a=3.5115 b=3.5115 c=17.5477 alpha=90.00 beta=90.00 gamma=120.00
Space group R-3m (No. 166, hexagonal axes)
Inequivalent atoms, fractional coordinates:
Sr  0.0000  0.0000  0.0000 x3
Y  0.0000  0.0000  0.5000 x3
O  0.0000  0.0000  0.2393 x6

Computed properties:
D(E_F)   3.5 states/eV per cell
Formation energy without anion corrections   -2747 meV/atom
Electronic total energy   -29.1 eV/f.u.
Offset from the most stable computed form   0 meV/atom
Crystal system   trigonal